Computed, not measured: a relaxed structure of Cs2YGaS4 at the GGA-PBE level of DFT.

Values from the calculation:
E_form (uncorrected) = -1021 kJ/mol of formula units
Theoretical density = 3.10 g cm⁻³
Raw total energy = -76.59 eV per cell
Crystal system = orthorhombic
Magnetization = 0.000 μB/atom

Cell: 6.2050 7.9701 13.3804 Å, 84.82 76.59 67.09°
With the nearest neighbours (Å) after each atom.
Fractional positions:
S  0.8875  0.6882  0.5999  1 Ga 2.33, 1 Y 2.58
Cs  0.9290  0.5000  0.1420  8 S 3.74-4.05
Ga  0.5000  0.0000  0.0000  4 S 2.33
Cs  0.5710  0.5000  0.8580  8 S 3.74-4.05
Ga  0.2500  0.5000  0.5000  4 S 2.33
Y  0.7500  0.5000  0.5000  4 S 2.58
S  0.5126  0.3118  0.5999  1 Ga 2.33, 1 Y 2.58
S  0.3257  0.8118  0.0999  1 Ga 2.33, 1 Y 2.58
Cs  0.1790  0.0000  0.6420  8 S 3.74-4.05
S  0.8625  0.8118  0.9001  1 Ga 2.33, 1 Y 2.58
S  0.2374  0.1882  0.9001  1 Ga 2.33, 1 Y 2.58
Y  0.0000  0.0000  0.0000  4 S 2.58
S  0.5744  0.1882  0.0999  1 Ga 2.33, 1 Y 2.58
S  0.1756  0.3118  0.4001  1 Ga 2.33, 1 Y 2.58
Cs  0.8210  0.0000  0.3580  8 S 3.74-4.05
S  0.4243  0.6882  0.4001  1 Ga 2.33, 1 Y 2.58


Computed, not measured: a relaxed structure of SmMgCuGe at the GGA-PBE level of DFT.

Values from the calculation:
Theoretical density = 6.37 g cm⁻³
Raw total energy = -16.48 eV per cell
Energy relative to the elements = -0.364 eV per atom
Crystal system = cubic
Magnetization = 0.000 μB/atom

Cell: 4.8566 4.8566 4.8566 Å, 60.00 60.00 60.00°
With the nearest neighbours (Å) after each atom.
Fractional positions:
Ge  0.2500  0.2500  0.2500  4 Mg 2.97, 4 Sm 2.97
Sm  0.0000  0.0000  0.0000  4 Ge 2.97, 4 Cu 2.97
Mg  0.5000  0.5000  0.5000  4 Ge 2.97, 4 Cu 2.97
Cu  0.7500  0.7500  0.7500  4 Mg 2.97, 4 Sm 2.97


Computed, not measured: a relaxed structure of CdOs3N at the GGA-PBE level of DFT.

Values from the calculation:
E_form (uncorrected) = 380 kJ/mol of formula units
Theoretical density = 16.54 g cm⁻³
Raw total energy = -38.99 eV per cell
Crystal system = cubic
Magnetization = 0.000 μB/atom

Cell: 4.1208 4.1208 4.1208 Å, 90.00 90.00 90.00°
With the nearest neighbours (Å) after each atom.
Fractional positions:
Os  0.5000  0.0000  0.0000  2 N 2.06
Cd  0.5000  0.5000  0.5000  12 Os 2.91
Os  0.0000  0.5000  0.0000  2 N 2.06
Os  0.0000  0.0000  0.5000  2 N 2.06
N  0.0000  0.0000  0.0000  6 Os 2.06


Computed, not measured: a relaxed structure of PrDyThAl at the GGA-PBE level of DFT.

Values from the calculation:
Theoretical density = 8.13 g cm⁻³
Raw total energy = -20.56 eV per cell
Energy relative to the elements = -0.005 eV per atom
Crystal system = cubic
Magnetization = 0.000 μB/atom

Cell: 5.4565 5.4565 5.4565 Å, 60.00 60.00 60.00°
With the nearest neighbours (Å) after each atom.
Fractional positions:
Al  0.0000  0.0000  0.0000  4 Th 3.34, 4 Pr 3.34
Pr  0.7500  0.7500  0.7500  4 Dy 3.34, 4 Al 3.34
Th  0.2500  0.2500  0.2500  4 Dy 3.34, 4 Al 3.34
Dy  0.5000  0.5000  0.5000  4 Th 3.34, 4 Pr 3.34